Record 1
Below is crystalline LiMnSN2 at its relaxed geometry, with properties calculated at the GGA-PBE level.

Cell: 3.568 3.568 4.999 Å, 90.00 90.00 90.00°
Atoms (fractional coordinates):
Li1 0.000 0.000 0.000
Mn1 0.500 0.500 0.500
S1 0.500 0.500 0.000
N1 0.000 0.500 0.500
N2 0.500 0.000 0.500

## Properties
D(E_F): 1.83 states/eV per cell
spin magnetization: 0.61 μB/cell
E_form (uncorrected): 19 kJ per mole of atoms
calculated density: 3.18 g/cm3



Record 2
Below is crystalline Li2MnSbN at its relaxed geometry, with properties calculated at the GGA-PBE level.

Cell: 4.202 4.202 3.754 Å, 90.00 90.00 90.00°
Atoms (fractional coordinates):
Li1 0.000 0.500 0.000
Li2 0.500 0.000 0.000
Mn1 0.000 0.000 0.500
Sb1 0.500 0.500 0.500
N1 0.000 0.000 0.000

## Properties
D(E_F): 2.14 states/eV per cell
spin magnetization: 2.31 μB/cell
E_form (uncorrected): -33 kJ per mole of atoms
calculated density: 5.13 g/cm3



Record 3
Below is crystalline LiSc2MnN at its relaxed geometry, with properties calculated at the GGA-PBE level.

Cell: 4.401 4.401 4.076 Å, 90.00 90.00 90.00°
Atoms (fractional coordinates):
Li1 0.000 0.000 0.000
Sc1 0.000 0.500 0.500
Sc2 0.500 0.000 0.500
Mn1 0.500 0.500 0.000
N1 0.000 0.000 0.500

## Properties
D(E_F): 7.45 states/eV per cell
spin magnetization: 3.18 μB/cell
E_form (uncorrected): -42 kJ per mole of atoms
calculated density: 3.49 g/cm3



Record 4
Below is crystalline LiMnSeN2 at its relaxed geometry, with properties calculated at the GGA-PBE level.

Cell: 3.585 3.585 5.246 Å, 90.00 90.00 90.00°
Atoms (fractional coordinates):
Li1 0.000 0.000 0.000
Mn1 0.500 0.500 0.500
Se1 0.500 0.500 0.000
N1 0.000 0.500 0.500
N2 0.500 0.000 0.500

## Properties
D(E_F): 4.30 states/eV per cell
spin magnetization: 0.00 μB/cell
E_form (uncorrected): 20 kJ per mole of atoms
calculated density: 4.16 g/cm3